--- w ---
A geometry-optimized CuGeP structure. Source: Alexandria via LeMat-Bulk, functional PBE-GGA.

Values from the calculation:
size of the total moment	0.000	μB per atom

Cell and atoms, written as extended XYZ:
```
6
Lattice="4.620 0.000 0.001 0.000 3.918 0.000 -3.937 0.000 6.043" Properties=species:S:1:pos:R:3 pbc="T T T"
Cu -1.325 0.000 2.248
Cu -3.294 1.959 5.269
Ge 1.088 0.000 1.128
Ge -0.880 1.959 4.149
P -2.562 0.000 4.214
P -0.593 1.959 1.193
```

***

--- x ---
A geometry-optimized CuGeP structure. Source: Alexandria via LeMat-Bulk, functional PBE-GGA.

Values from the calculation:
size of the total moment	0.000	μB per atom

Cell and atoms, written as extended XYZ:
```
6
Lattice="-4.423 -0.872 -2.729 1.196 -1.935 -1.320 -2.050 -4.863 5.273" Properties=species:S:1:pos:R:3 pbc="T T T"
Cu -5.728 -4.339 1.173
Cu -4.105 -2.876 -2.124
Ge -3.817 -2.756 0.583
Ge -4.244 -6.155 2.560
P -1.679 -2.334 1.901
P -2.106 -5.734 3.878
```

***

Result of the stability comparison: w is the most stable of them.

***

--- w ---
A geometry-optimized In2SiAs structure. Source: Alexandria via LeMat-Bulk, functional PBE-GGA.

Values from the calculation:
size of the total moment	0.000	μB per atom

Cell and atoms, written as extended XYZ:
```
8
Lattice="6.196 0.000 0.000 0.000 6.196 0.000 3.098 3.098 6.034" Properties=species:S:1:pos:R:3 pbc="T T T"
As 0.000 0.000 0.000
As 6.196 3.098 3.017
Si 3.098 3.098 0.000
Si 3.098 6.196 3.017
In 4.599 1.549 1.509
In 1.597 4.647 1.509
In 4.647 4.695 4.526
In 7.745 7.697 4.526
```

***

--- x ---
A geometry-optimized In2SiAs structure. Source: Alexandria via LeMat-Bulk, functional PBE-GGA.

Values from the calculation:
size of the total moment	0.000	μB per atom

Cell and atoms, written as extended XYZ:
```
4
Lattice="5.021 0.000 0.000 2.510 4.348 0.000 2.510 1.449 4.099" Properties=species:S:1:pos:R:3 pbc="T T T"
As 5.021 2.899 2.050
In 0.000 0.000 0.000
In 7.531 4.348 3.075
Si 2.510 1.449 1.025
```

***

Result of the stability comparison: w is the most stable of them.